Entry from the Alexandria database: a relaxed CoMoCl2 crystal (PBE-GGA).

Computed properties:
The distance to the lowest polymorph of the same formula comes out at 0 meV/atom. As for the energy relative to the elements, uncorrected: -186 meV per atom. The value obtained for the size of the total moment is 0.192 μB per atom. Its space-group type is No. 6. Its density of states at the Fermi level is 3.0 states/eV/cell. The electronic total energy comes out at -5.593 eV per atom.

Lattice parameters (Å, degrees): 3.166 3.103 8.096 90.00 99.51 90.00
Positions (direct):
Co: 0.000 0.000 0.000
Mo: 0.437 0.500 0.851
Cl: 0.338 0.000 0.617
Cl: 0.569 0.500 0.165



Entry from the Alexandria database: a relaxed Ba4CuAsI2 crystal (PBE-GGA).

Computed properties:
As for the energy relative to the elements, uncorrected: -1022 meV per atom. The value obtained for the size of the total moment is 0.196 μB per atom. Its space-group type is No. 10. Its density of states at the Fermi level is 5.1 states/eV/cell. The electronic total energy comes out at -3.464 eV per atom.

Lattice parameters (Å, degrees): 8.434 4.770 8.906 90.00 107.76 90.00
Positions (direct):
Ba: 0.230 0.000 0.209
Ba: 0.264 0.500 0.794
Ba: 0.736 0.500 0.206
Ba: 0.770 0.000 0.791
Cu: 0.500 0.000 0.000
As: 0.000 0.500 0.000
I: 0.000 0.000 0.500
I: 0.500 0.500 0.500



Entry from the Alexandria database: a relaxed ReAg6Br12 crystal (PBE-GGA).

Computed properties:
As for the energy relative to the elements, uncorrected: -282 meV per atom. The value obtained for the size of the total moment is 0.055 μB per atom. Its space-group type is No. 148. Its density of states at the Fermi level is 10.7 states/eV/cell. The electronic total energy comes out at -2.894 eV per atom.

Lattice parameters (Å, degrees): 8.608 8.608 8.608 83.62 83.62 83.62
Positions (direct):
Re: 0.000 0.000 0.000
Ag: 0.118 0.600 0.310
Ag: 0.310 0.118 0.600
Ag: 0.400 0.690 0.882
Ag: 0.600 0.310 0.118
Ag: 0.690 0.882 0.400
Ag: 0.882 0.400 0.690
Br: 0.029 0.946 0.287
Br: 0.054 0.713 0.971
Br: 0.182 0.410 0.590
Br: 0.287 0.029 0.946
Br: 0.410 0.590 0.182
Br: 0.410 0.818 0.590
Br: 0.590 0.182 0.410
Br: 0.590 0.410 0.818
Br: 0.713 0.971 0.054
Br: 0.818 0.590 0.410
Br: 0.946 0.287 0.029
Br: 0.971 0.054 0.713



Entry from the Alexandria database: a relaxed TbYTm6 crystal (PBE-GGA).

Computed properties:
The distance to the lowest polymorph of the same formula comes out at 0 meV/atom. The value obtained for the size of the total moment is 0.000 μB per atom. Its space-group type is No. 2. Its density of states at the Fermi level is 14.1 states/eV/cell. The electronic total energy comes out at -4.526 eV per atom. The formation energy comes out at 0.215 eV/atom.

Lattice parameters (Å, degrees): 6.495 6.676 6.836 118.91 103.32 90.38
Positions (direct):
Tb: 0.000 0.000 0.000
Y: 0.500 0.000 0.000
Tm: 0.229 0.906 0.478
Tm: 0.250 0.452 0.001
Tm: 0.269 0.427 0.520
Tm: 0.731 0.573 0.480
Tm: 0.750 0.548 0.999
Tm: 0.771 0.094 0.522



Entry from the Alexandria database: a relaxed TmPu6Se8 crystal (PBE-GGA).

Computed properties:
As for the energy relative to the elements, uncorrected: -1584 meV per atom. The value obtained for the size of the total moment is 2.302 μB per atom. Its space-group type is No. 225. Its density of states at the Fermi level is 58.4 states/eV/cell. The electronic total energy comes out at -9.474 eV per atom.

Lattice parameters (Å, degrees): 8.287 8.287 8.287 60.00 60.00 60.00
Positions (direct):
Tm: 0.000 0.000 0.000
Pu: 0.000 0.000 0.500
Pu: 0.000 0.500 0.000
Pu: 0.000 0.500 0.500
Pu: 0.500 0.000 0.000
Pu: 0.500 0.000 0.500
Pu: 0.500 0.500 0.000
Se: 0.245 0.245 0.755
Se: 0.245 0.755 0.245
Se: 0.245 0.755 0.755
Se: 0.250 0.250 0.250
Se: 0.750 0.750 0.750
Se: 0.755 0.245 0.245
Se: 0.755 0.245 0.755
Se: 0.755 0.755 0.245



Entry from the Alexandria database: a relaxed Zr2CrRu crystal (PBE-GGA).

Computed properties:
The value obtained for the size of the total moment is 0.016 μB per atom. Its space-group type is No. 160. Its density of states at the Fermi level is 5.3 states/eV/cell. The electronic total energy comes out at -8.723 eV per atom. The formation energy comes out at 0.276 eV/atom.

Lattice parameters (Å, degrees): 9.218 9.218 9.218 18.91 18.91 18.91
Positions (direct):
Zr: 0.000 0.000 0.000
Zr: 0.233 0.233 0.233
Cr: 0.749 0.749 0.749
Ru: 0.479 0.479 0.479